Record 1
DFT (PBE-GGA) results for a relaxed structure of LiPrCdSi.

Properties
Formation energy (no corrections)   -0.289 eV/atom
Energy   -3.5472 eV per atom
Space-group type   F-43m (216)

Cell and atoms, written as POSCAR:
```
LiPrCdSi
1.0
5.033 0.000 0.000
2.517 4.359 0.000
2.517 1.453 4.110
Pr Si Li Cd
1 1 1 1
Cartesian
2.517 1.453 1.027
0.000 0.000 0.000
7.550 4.359 3.082
5.033 2.906 2.055
```

---

Record 2
DFT (PBE-GGA) results for a relaxed structure of Tm4Al2In.

Properties
Energy above the lowest structure with this stoichiometry   0.000 eV/atom
Energy   -4.2545 eV per atom
E_form   -0.239 eV/atom
Space-group type   R-3m (166)

Cell and atoms, written as POSCAR:
```
Tm4Al2In
1.0
-4.706 -1.371 1.234
-2.049 -4.137 -2.059
0.686 -6.364 5.900
Tm Al In
4 2 1
Cartesian
-5.607 -7.277 1.589
-0.463 -4.594 3.486
-4.057 -4.360 0.389
-2.013 -7.511 4.686
-4.540 -8.923 3.833
-1.530 -2.948 1.242
0.000 0.000 0.000
```

---

Record 3
DFT (PBE-GGA) results for a relaxed structure of YTa2Tc.

Properties
Energy above the lowest structure with this stoichiometry   0.327 eV/atom
Energy   -9.7644 eV per atom
E_form   0.369 eV/atom
Space-group type   I4/mmm (139)

Cell and atoms, written as POSCAR:
```
YTa2Tc
1.0
-0.895 1.253 5.518
1.819 -3.437 4.207
1.959 2.471 -4.783
Ta Tc Y
2 1 1
Cartesian
0.000 0.000 0.000
0.462 -1.092 4.862
2.120 -1.029 2.143
0.763 1.316 2.799
```

---

Record 4
DFT (PBE-GGA) results for a relaxed structure of Tl2BrF3.

Properties
Formation energy (no corrections)   -1.566 eV/atom
Energy   -3.5688 eV per atom
Space-group type   C2/m (12)

Cell and atoms, written as POSCAR:
```
Tl2BrF3
1.0
-2.324 1.886 3.363
-6.245 1.438 -5.123
0.791 -8.835 2.485
Tl Br F
4 2 6
Cartesian
-4.457 -4.760 -0.411
-3.321 -0.751 1.137
-4.299 -0.693 -2.584
-3.478 -4.818 3.310
-0.221 -2.454 1.222
-7.557 -3.057 -0.496
-2.361 0.046 -1.660
-5.416 -5.558 2.385
-4.078 -3.168 1.970
-3.700 -2.344 -1.245
-5.166 0.199 -0.670
-2.612 -5.711 1.396
```

---

| no. | D(E_F) (states/eV per cell) | V (Å³ per cell) |
| --- | --- | --- |
| 1 | 1.91 | 90 |
| 2 | 7.23 | 181 |
| 3 | 3.60 | 78 |
| 4 | 0.00 | 300 |